# 1
The following is a DFT calculation (meta-GGA SCAN) of ReSi2Hg at its PBEsol-relaxed geometry. Values from VASP.

Cell and atoms, written as Quantum ESPRESSO input:
```
&SYSTEM
  ibrav = 0, nat = 4, ntyp = 3
/
ATOMIC_SPECIES
Hg 200.59 Hg.upf
Re 186.21 Re.upf
Si 28.09 Si.upf
ATOMIC_POSITIONS angstrom
Hg 1.664 -2.200 -0.762
Re 0.000 0.000 0.000
Si 2.647 0.360 -0.633
Si 4.311 -1.840 -1.395
CELL_PARAMETERS angstrom
-0.253 -2.964 -2.744
3.629 2.920 -0.504
3.582 -1.436 1.220
```

Output
As for the total energy: -156.36 eV per cell. For the density of states at the Fermi level, the calculation gives 3.5 states/eV/cell. Its space group is I4/mmm.

=====

# 2
The following is a DFT calculation (meta-GGA SCAN) of Re2SiHg at its PBEsol-relaxed geometry. Values from VASP.

Cell and atoms, written as Quantum ESPRESSO input:
```
&SYSTEM
  ibrav = 0, nat = 4, ntyp = 3
/
ATOMIC_SPECIES
Hg 200.59 Hg.upf
Re 186.21 Re.upf
Si 28.09 Si.upf
ATOMIC_POSITIONS angstrom
Hg 0.000 -0.589 2.570
Re 1.440 1.303 4.099
Re 0.000 1.751 1.055
Si 1.440 0.000 0.000
CELL_PARAMETERS angstrom
2.880 0.000 0.000
-1.440 4.232 0.014
0.000 -1.178 5.139
```

Output
Its energy above the most stable polymorph in this dataset is 0 meV per atom. For the density of states at the Fermi level, the calculation gives 2.4 states/eV/cell. Its space group is C2/m.

=====

# 3
The following is a DFT calculation (meta-GGA SCAN) of ReSnHg3 at its PBEsol-relaxed geometry. Values from VASP.

Cell and atoms, written as Quantum ESPRESSO input:
```
&SYSTEM
  ibrav = 0, nat = 5, ntyp = 3
/
ATOMIC_SPECIES
Re 186.21 Re.upf
Hg 200.59 Hg.upf
Sn 118.71 Sn.upf
ATOMIC_POSITIONS angstrom
Re 1.445 -4.063 1.749
Hg 1.568 -1.769 -1.277
Hg 1.481 -0.293 2.223
Hg -1.603 -2.001 0.804
Sn 0.000 0.000 0.000
CELL_PARAMETERS angstrom
-3.205 -4.002 1.608
3.135 -3.538 -2.555
2.961 -0.586 4.445
```

Output
As for the formation energy: 151 kJ per mole of atoms. For the density of states at the Fermi level, the calculation gives 2.6 states/eV/cell. Its space group is Pm-3m.

=====

# 4
The following is a DFT calculation (meta-GGA SCAN) of SrReHg2 at its PBEsol-relaxed geometry. Values from VASP.

Cell and atoms, written as Quantum ESPRESSO input:
```
&SYSTEM
  ibrav = 0, nat = 4, ntyp = 3
/
ATOMIC_SPECIES
Hg 200.59 Hg.upf
Re 186.21 Re.upf
Sr 87.62 Sr.upf
ATOMIC_POSITIONS angstrom
Hg -1.901 1.860 0.141
Hg -0.930 -2.143 1.279
Re -3.423 -0.791 0.138
Sr -0.593 -0.508 -1.282
CELL_PARAMETERS angstrom
-1.185 -1.017 -2.565
-1.860 -4.285 2.558
-3.801 3.720 0.282
```

Output
Its energy above the most stable polymorph in this dataset is 157 meV per atom. As for the formation energy: 63 kJ per mole of atoms. For the density of states at the Fermi level, the calculation gives 2.0 states/eV/cell. Its space group is Cmmm.

=====

# 5
The following is a DFT calculation (meta-GGA SCAN) of SrReHg2 at its PBEsol-relaxed geometry. Values from VASP.

Cell and atoms, written as Quantum ESPRESSO input:
```
&SYSTEM
  ibrav = 0, nat = 4, ntyp = 3
/
ATOMIC_SPECIES
Hg 200.59 Hg.upf
Re 186.21 Re.upf
Sr 87.62 Sr.upf
ATOMIC_POSITIONS angstrom
Hg 0.000 0.160 0.099
Hg 1.489 0.107 4.382
Re 0.000 0.765 6.682
Sr 0.000 2.458 2.582
CELL_PARAMETERS angstrom
2.977 0.000 0.000
0.000 4.688 0.052
-1.489 -1.771 6.834
```

Output
Its energy above the most stable polymorph in this dataset is 0 meV per atom. As for the formation energy: 48 kJ per mole of atoms. For the density of states at the Fermi level, the calculation gives 1.9 states/eV/cell. Its space group is Cm.

=====

# 6
The following is a DFT calculation (meta-GGA SCAN) of TaReHg2 at its PBEsol-relaxed geometry. Values from VASP.

Cell and atoms, written as Quantum ESPRESSO input:
```
&SYSTEM
  ibrav = 0, nat = 4, ntyp = 3
/
ATOMIC_SPECIES
Hg 200.59 Hg.upf
Re 186.21 Re.upf
Ta 180.95 Ta.upf
ATOMIC_POSITIONS angstrom
Hg 0.000 0.000 7.369
Hg 1.587 1.587 2.014
Re 0.000 0.000 3.962
Ta 1.587 1.587 5.292
CELL_PARAMETERS angstrom
3.175 0.000 0.000
0.000 3.175 0.000
0.000 0.000 7.455
```

Output
Its energy above the most stable polymorph in this dataset is 0 meV per atom. As for the formation energy: 33 kJ per mole of atoms. For the density of states at the Fermi level, the calculation gives 2.2 states/eV/cell. Its space group is P4mm.

=====

# 7
The following is a DFT calculation (meta-GGA SCAN) of TaReHg2 at its PBEsol-relaxed geometry. Values from VASP.

Cell and atoms, written as Quantum ESPRESSO input:
```
&SYSTEM
  ibrav = 0, nat = 4, ntyp = 3
/
ATOMIC_SPECIES
Hg 200.59 Hg.upf
Re 186.21 Re.upf
Ta 180.95 Ta.upf
ATOMIC_POSITIONS angstrom
Hg -4.249 1.641 4.792
Hg -1.558 -1.632 1.977
Re -1.022 1.161 2.743
Ta -1.975 -0.465 4.532
CELL_PARAMETERS angstrom
-2.759 -0.687 -0.524
0.586 -3.721 1.794
-1.549 2.321 5.319
```

Output
Its energy above the most stable polymorph in this dataset is 139 meV per atom. As for the formation energy: 46 kJ per mole of atoms. For the density of states at the Fermi level, the calculation gives 2.0 states/eV/cell. Its space group is Pm.

=====

# 8
The following is a DFT calculation (meta-GGA SCAN) of TaReHg2 at its PBEsol-relaxed geometry. Values from VASP.

Cell and atoms, written as Quantum ESPRESSO input:
```
&SYSTEM
  ibrav = 0, nat = 4, ntyp = 3
/
ATOMIC_SPECIES
Hg 200.59 Hg.upf
Re 186.21 Re.upf
Ta 180.95 Ta.upf
ATOMIC_POSITIONS angstrom
Hg 3.194 -3.474 -1.886
Hg 0.624 -2.368 -1.731
Re 0.979 -5.189 -0.712
Ta -1.515 -3.933 -0.536
CELL_PARAMETERS angstrom
-0.004 0.378 -2.760
3.247 -3.834 0.876
-4.299 -2.938 -0.396
```

Output
Its energy above the most stable polymorph in this dataset is 258 meV per atom. As for the formation energy: 58 kJ per mole of atoms. For the density of states at the Fermi level, the calculation gives 1.6 states/eV/cell. Its space group is Cm.

=====

# 9
The following is a DFT calculation (meta-GGA SCAN) of TaReHg2 at its PBEsol-relaxed geometry. Values from VASP.

Cell and atoms, written as Quantum ESPRESSO input:
```
&SYSTEM
  ibrav = 0, nat = 4, ntyp = 3
/
ATOMIC_SPECIES
Hg 200.59 Hg.upf
Re 186.21 Re.upf
Ta 180.95 Ta.upf
ATOMIC_POSITIONS angstrom
Hg -0.454 -1.322 2.400
Hg 0.454 1.322 2.400
Re 1.399 -0.003 0.000
Ta -0.491 2.646 0.000
CELL_PARAMETERS angstrom
2.798 -0.006 0.000
-0.982 5.293 0.000
-0.908 -2.643 4.800
```

Output
Its energy above the most stable polymorph in this dataset is 322 meV per atom. As for the formation energy: 64 kJ per mole of atoms. For the density of states at the Fermi level, the calculation gives 1.9 states/eV/cell. Its space group is C2/m.

=====

# 10
The following is a DFT calculation (meta-GGA SCAN) of Re2TcHg at its PBEsol-relaxed geometry. Values from VASP.

Cell and atoms, written as Quantum ESPRESSO input:
```
&SYSTEM
  ibrav = 0, nat = 4, ntyp = 3
/
ATOMIC_SPECIES
Hg 200.59 Hg.upf
Re 186.21 Re.upf
Tc 98.00 Tc.upf
ATOMIC_POSITIONS angstrom
Hg -1.328 -4.551 -2.690
Re 0.000 0.000 0.000
Re -1.992 -6.826 -4.035
Tc -0.664 -2.275 -1.345
CELL_PARAMETERS angstrom
-3.199 -3.019 -0.676
-0.530 -1.817 -4.028
1.073 -4.266 -0.676
```

Output
As for the formation energy: 73 kJ per mole of atoms. For the density of states at the Fermi level, the calculation gives 3.7 states/eV/cell. Its space group is F-43m.

=====

# 11
The following is a DFT calculation (meta-GGA SCAN) of Re2TcHg at its PBEsol-relaxed geometry. Values from VASP.

Cell and atoms, written as Quantum ESPRESSO input:
```
&SYSTEM
  ibrav = 0, nat = 4, ntyp = 3
/
ATOMIC_SPECIES
Hg 200.59 Hg.upf
Re 186.21 Re.upf
Tc 98.00 Tc.upf
ATOMIC_POSITIONS angstrom
Hg 1.465 0.000 0.000
Re 0.000 0.000 2.305
Re 0.000 2.305 0.000
Tc 1.465 2.305 2.305
CELL_PARAMETERS angstrom
2.929 0.000 0.000
0.000 4.611 0.000
0.000 0.000 4.611
```

Output
As for the formation energy: 94 kJ per mole of atoms. For the density of states at the Fermi level, the calculation gives 3.4 states/eV/cell. Its space group is P4/mmm.

=====

# 12
The following is a DFT calculation (meta-GGA SCAN) of ReTc2HgW at its PBEsol-relaxed geometry. Values from VASP.

Cell and atoms, written as Quantum ESPRESSO input:
```
&SYSTEM
  ibrav = 0, nat = 5, ntyp = 4
/
ATOMIC_SPECIES
Re 186.21 Re.upf
Hg 200.59 Hg.upf
W 183.84 W.upf
Tc 98.00 Tc.upf
ATOMIC_POSITIONS angstrom
Re 0.000 0.000 0.000
Hg -2.985 -1.399 -2.338
W -2.309 0.143 0.476
Tc -0.267 -2.214 -0.633
Tc -0.408 0.673 -2.181
CELL_PARAMETERS angstrom
-0.817 1.346 -4.362
-0.535 -4.429 -1.267
-4.618 0.285 0.953
```

Output
As for the formation energy: 175 kJ per mole of atoms. For the density of states at the Fermi level, the calculation gives 4.7 states/eV/cell. Its space group is P4/mmm.

=====

# 13
The following is a DFT calculation (meta-GGA SCAN) of ReHgTe at its PBEsol-relaxed geometry. Values from VASP.

Cell and atoms, written as Quantum ESPRESSO input:
```
&SYSTEM
  ibrav = 0, nat = 3, ntyp = 3
/
ATOMIC_SPECIES
Hg 200.59 Hg.upf
Re 186.21 Re.upf
Te 127.60 Te.upf
ATOMIC_POSITIONS angstrom
Hg 0.000 0.000 0.000
Re 1.430 0.000 2.805
Te 1.430 2.429 1.402
CELL_PARAMETERS angstrom
2.860 0.000 0.000
0.000 4.858 0.000
0.000 -2.429 4.207
```

Output
As for the total energy: -173.24 eV per cell. For the density of states at the Fermi level, the calculation gives 2.4 states/eV/cell. Its space group is P-6m2.

=====

# 14
The following is a DFT calculation (meta-GGA SCAN) of ReHgTe3 at its PBEsol-relaxed geometry. Values from VASP.

Cell and atoms, written as Quantum ESPRESSO input:
```
&SYSTEM
  ibrav = 0, nat = 5, ntyp = 3
/
ATOMIC_SPECIES
Re 186.21 Re.upf
Te 127.60 Te.upf
Hg 200.59 Hg.upf
ATOMIC_POSITIONS angstrom
Re 0.000 0.000 0.000
Te 0.000 2.612 0.000
Te 0.000 0.000 2.612
Te 2.612 0.000 0.000
Hg 2.612 2.612 2.612
CELL_PARAMETERS angstrom
5.223 0.000 0.000
0.000 5.223 0.000
0.000 0.000 5.223
```

Output
Its energy above the most stable polymorph in this dataset is 0 meV per atom. For the density of states at the Fermi level, the calculation gives 5.4 states/eV/cell. Its space group is Pm-3m.

=====

# 15
The following is a DFT calculation (meta-GGA SCAN) of ReHgTe3 at its PBEsol-relaxed geometry. Values from VASP.

Cell and atoms, written as Quantum ESPRESSO input:
```
&SYSTEM
  ibrav = 0, nat = 5, ntyp = 3
/
ATOMIC_SPECIES
Re 186.21 Re.upf
Te 127.60 Te.upf
Hg 200.59 Hg.upf
ATOMIC_POSITIONS angstrom
Re -4.092 -2.295 0.578
Te -0.356 -2.688 -0.310
Te -1.453 -0.074 2.309
Te -2.283 0.467 -1.421
Hg 0.000 0.000 0.000
CELL_PARAMETERS angstrom
-4.565 0.933 -2.842
-0.713 -5.376 -0.620
-2.905 -0.147 4.618
```

Output
Its energy above the most stable polymorph in this dataset is 1079 meV per atom. For the density of states at the Fermi level, the calculation gives 5.2 states/eV/cell. Its space group is Pm-3m.